# LiMoPd3

Crystalline LiMoPd3 at its relaxed geometry (GGA-PBE, the Alexandria database).

## Properties
Electronic total energy   -4.862 eV/atom
E_form   0.80 eV per atom

Cell: 4.825 4.825 4.825 Å, 90.00 90.00 90.00°
Atoms (fractional coordinates):
1 Li 0.000 0.000 0.000
2 Mo 0.500 0.500 0.500
3 Pd 0.000 0.500 0.500
4 Pd 0.500 0.000 0.500
5 Pd 0.500 0.500 0.000

# Ac4CoSeS2

Crystalline Ac4CoSeS2 at its relaxed geometry (GGA-PBE, the Alexandria database).

## Properties
Electronic total energy   -5.801 eV/atom
Formation energy from raw total energies   -1.3910 eV/atom

Cell: 7.607 4.249 7.730 Å, 90.00 108.65 90.00°
Atoms (fractional coordinates):
1 Ac 0.233 0.000 0.227
2 Ac 0.254 0.500 0.762
3 Ac 0.746 0.500 0.238
4 Ac 0.767 0.000 0.773
5 Co 0.000 0.500 0.000
6 Se 0.000 0.000 0.500
7 S 0.500 0.000 0.000
8 S 0.500 0.500 0.500

# Ce2SiPd3

Crystalline Ce2SiPd3 at its relaxed geometry (GGA-PBE, the Alexandria database).

## Properties
Electronic total energy   -6.248 eV/atom
Formation energy from raw total energies   -0.7695 eV/atom

Cell: 8.986 8.566 5.685 Å, 75.15 67.14 37.70°
Atoms (fractional coordinates):
1 Ce 0.243 0.757 0.757
2 Ce 0.250 0.250 0.250
3 Ce 0.750 0.750 0.750
4 Ce 0.757 0.243 0.243
5 Si 0.333 0.333 0.667
6 Si 0.667 0.667 0.333
7 Pd 0.176 0.176 0.824
8 Pd 0.179 0.646 0.354
9 Pd 0.354 0.821 0.179
10 Pd 0.646 0.179 0.821
11 Pd 0.821 0.354 0.646
12 Pd 0.824 0.824 0.176

# Pr6SbTe2As3

Crystalline Pr6SbTe2As3 at its relaxed geometry (GGA-PBE, the Alexandria database).

## Properties
Electronic total energy   -5.901 eV/atom
Formation energy from raw total energies   -1.4818 eV/atom

Cell: 9.941 9.941 8.916 Å, 104.00 104.00 25.56°
Atoms (fractional coordinates):
1 Pr 0.005 0.005 0.242
2 Pr 0.330 0.330 0.432
3 Pr 0.340 0.340 0.901
4 Pr 0.660 0.660 0.099
5 Pr 0.670 0.670 0.568
6 Pr 0.995 0.995 0.758
7 Sb 0.500 0.500 0.500
8 Te 0.168 0.168 0.836
9 Te 0.832 0.832 0.164
10 As 0.167 0.167 0.334
11 As 0.500 0.500 0.000
12 As 0.833 0.833 0.666

# MgAs3Se

Crystalline MgAs3Se at its relaxed geometry (GGA-PBE, the Alexandria database).

## Properties
Electronic total energy   -3.164 eV/atom
Formation energy from raw total energies   0.6416 eV/atom

Cell: 5.030 5.030 5.030 Å, 90.00 90.00 90.00°
Atoms (fractional coordinates):
1 Mg 0.000 0.000 0.000
2 As 0.000 0.500 0.500
3 As 0.500 0.000 0.500
4 As 0.500 0.500 0.000
5 Se 0.500 0.500 0.500

# Li2Ca3Mg

Crystalline Li2Ca3Mg at its relaxed geometry (GGA-PBE, the Alexandria database).

## Properties
Electronic total energy   -1.922 eV/atom
E_form   -0.02 eV per atom

Cell: 8.960 8.960 3.884 Å, 90.00 90.00 143.03°
Atoms (fractional coordinates):
1 Li 0.164 0.836 0.000
2 Li 0.836 0.164 0.000
3 Ca 0.000 0.000 0.500
4 Ca 0.333 0.667 0.500
5 Ca 0.667 0.333 0.500
6 Mg 0.500 0.500 0.000